Entry 1:
VASP calculation (GGA-PBE) on Re4TcMo after structural relaxation.

The value obtained for the total energy is -11.615 eV per atom. As for the crystal system: cubic. The density of states at the Fermi level is 12.8 states/eV per cell. The distance to the lowest polymorph of the same formula comes out at 0.122 eV per atom.

Unit cell a=7.241 b=7.241 c=7.241 alpha=90.00 beta=90.00 gamma=90.00
Space group F-43m (No. 216)
Unique sites:
Re 0.125 0.125 0.125 (multiplicity 16)
Tc 0.000 0.000 0.500 (multiplicity 4)
Mo 0.250 0.250 0.750 (multiplicity 4)

=====

Entry 2:
VASP calculation (GGA-PBE) on ReTc2Mo after structural relaxation.

The value obtained for the total energy is -9.341 eV per atom. As for the crystal system: tetragonal. The density of states at the Fermi level is 21.2 states/eV per cell. The distance to the lowest polymorph of the same formula comes out at 1.552 eV per atom.

Unit cell a=5.626 b=5.626 c=11.296 alpha=90.00 beta=90.00 gamma=90.00
Space group I-42d (No. 122)
Unique sites:
Re 0.000 0.000 0.000 (multiplicity 4)
Tc 0.245 0.250 0.125 (multiplicity 8)
Mo 0.000 0.000 0.500 (multiplicity 4)

=====

Entry 3:
VASP calculation (GGA-PBE) on Re2TcMo after structural relaxation.

The value obtained for the total energy is -11.405 eV per atom. As for the crystal system: tetragonal. The density of states at the Fermi level is 8.0 states/eV per cell. The distance to the lowest polymorph of the same formula comes out at 0.011 eV per atom.

Unit cell a=3.930 b=3.930 c=7.851 alpha=90.00 beta=90.00 gamma=90.00
Space group I-4m2 (No. 119)
Unique sites:
Re 0.000 0.000 0.000 (multiplicity 2)
Re 0.000 0.500 0.250 (multiplicity 2)
Tc 0.000 0.500 0.750 (multiplicity 2)
Mo 0.000 0.000 0.500 (multiplicity 2)

=====

Entry 4:
VASP calculation (GGA-PBE) on ReTcMo2 after structural relaxation.

The value obtained for the total energy is -10.929 eV per atom. As for the crystal system: tetragonal. The density of states at the Fermi level is 8.0 states/eV per cell. The distance to the lowest polymorph of the same formula comes out at 0.106 eV per atom.

Unit cell a=3.951 b=3.951 c=7.889 alpha=90.00 beta=90.00 gamma=90.00
Space group I4/mmm (No. 139)
Unique sites:
Re 0.000 0.000 0.000 (multiplicity 2)
Tc 0.000 0.000 0.500 (multiplicity 2)
Mo 0.000 0.500 0.250 (multiplicity 4)

=====

Sequential energy of formation from the pure elements output: 0.22, 1.66, 0.12, 0.19 eV/atom